(1)
# Ce4Ge2Cl5 PBE optimized geometry
data_Ce4Ge2Cl5
_chemical_formula_sum 'Ce8 Ge4 Cl10'
_space_group_name_H-M_alt 'C 1 2/m 1'
_space_group_IT_number 12
_cell_length_a 23.014
_cell_length_b 4.161
_cell_length_c 7.919
_cell_angle_alpha 90.00
_cell_angle_beta 102.68
_cell_angle_gamma 90.00
loop_
_space_group_symop_operation_xyz
'x,y,z'
'-x,-y,-z'
'-x,y,-z'
'x,-y,z'
'x+1/2,y+1/2,z'
'-x+1/2,-y+1/2,-z'
'-x+1/2,y+1/2,-z'
'x+1/2,-y+1/2,z'
loop_
_atom_site_label
_atom_site_fract_x
_atom_site_fract_y
_atom_site_fract_z
_atom_site_occupancy
Ce1 0.006 0.000 0.268 1
Ce2 0.168 0.500 0.464 1
Ge1 0.054 0.500 0.549 1
Cl1 0.000 0.500 0.000 1
Cl2 0.128 0.000 0.218 1
Cl3 0.227 0.000 0.690 1
# - E (eV per atom) = -5.32
# - total moment (μB/atom) = 0.07
# - crystal system = monoclinic
# - uncorrected formation energy (eV per atom) = -1.488
# - ρ (g/cm3) = 3.96

---

(2)
# SrHfSi2 PBE optimized geometry
data_SrHfSi2
_chemical_formula_sum 'Sr4 Hf4 Si8'
_space_group_name_H-M_alt 'I -4 2 d'
_space_group_IT_number 122
_space_group_name_Hall 'I -4 2bw'
_cell_length_a 5.181
_cell_length_b 5.181
_cell_length_c 17.672
_cell_angle_alpha 90.00
_cell_angle_beta 90.00
_cell_angle_gamma 90.00
loop_
_atom_site_label
_atom_site_fract_x
_atom_site_fract_y
_atom_site_fract_z
_atom_site_occupancy
Sr1 0.000 0.000 0.000 1
Hf1 0.000 0.000 0.500 1
Si1 0.061 0.250 0.625 1
# - E (eV per atom) = -5.50
# - total moment (μB/atom) = 0.00
# - crystal system = tetragonal
# - uncorrected formation energy (eV per atom) = 0.124
# - E above lowest polymorph (eV/atom) = 0.054
# - ρ (g/cm3) = 4.51

---

(3)
# YCuRh2 PBE optimized geometry
data_YCuRh2
_chemical_formula_sum 'Y1 Cu1 Rh2'
_space_group_name_H-M_alt 'P 4/m m m'
_space_group_IT_number 123
_space_group_name_Hall '-P 4 2'
_cell_length_a 4.113
_cell_length_b 4.113
_cell_length_c 3.887
_cell_angle_alpha 90.00
_cell_angle_beta 90.00
_cell_angle_gamma 90.00
loop_
_atom_site_label
_atom_site_fract_x
_atom_site_fract_y
_atom_site_fract_z
_atom_site_occupancy
Y1 0.000 0.000 0.000 1
Cu1 0.500 0.500 0.000 1
Rh1 0.000 0.500 0.500 1
# - E (eV per atom) = -6.74
# - formation energy from the elements (kcal/mol of atoms) = -9.7
# - total moment (μB/atom) = 0.00
# - crystal system = tetragonal
# - E above lowest polymorph (eV/atom) = 0.000
# - ρ (g/cm3) = 9.05

---

(4)
# DyZn2In PBE optimized geometry
data_DyZn2In
_chemical_formula_sum 'Dy2 Zn4 In2'
_space_group_name_H-M_alt 'C m m m'
_space_group_IT_number 65
_space_group_name_Hall '-C 2 2'
_cell_length_a 5.645
_cell_length_b 9.735
_cell_length_c 3.206
_cell_angle_alpha 90.00
_cell_angle_beta 90.00
_cell_angle_gamma 90.00
loop_
_atom_site_label
_atom_site_fract_x
_atom_site_fract_y
_atom_site_fract_z
_atom_site_occupancy
Dy1 0.000 0.000 0.000 1
Zn1 0.250 0.250 0.500 1
In1 0.000 0.500 0.500 1
# - E (eV per atom) = -2.65
# - formation energy from the elements (kcal/mol of atoms) = -4.2
# - total moment (μB/atom) = 0.00
# - crystal system = orthorhombic
# - ρ (g/cm3) = 7.69

---

(5)
# LiPPbCl2 PBE optimized geometry
data_LiPPbCl2
_chemical_formula_sum 'Li1 P1 Pb1 Cl2'
_space_group_name_H-M_alt 'P 4/m m m'
_space_group_IT_number 123
_space_group_name_Hall '-P 4 2'
_cell_length_a 4.854
_cell_length_b 4.854
_cell_length_c 5.374
_cell_angle_alpha 90.00
_cell_angle_beta 90.00
_cell_angle_gamma 90.00
loop_
_atom_site_label
_atom_site_fract_x
_atom_site_fract_y
_atom_site_fract_z
_atom_site_occupancy
Li1 0.000 0.000 0.000 1
P1 0.000 0.000 0.500 1
Pb1 0.500 0.500 0.500 1
Cl1 0.000 0.500 0.000 1
# - E (eV per atom) = -3.29
# - total moment (μB/atom) = 0.40
# - crystal system = tetragonal
# - uncorrected formation energy (eV per atom) = -0.344
# - E above lowest polymorph (eV/atom) = 0.000
# - ρ (g/cm3) = 4.14

---

(6)
# ErHf2H8 PBE optimized geometry
data_ErHf2H8
_chemical_formula_sum 'Er2 Hf4 H16'
_space_group_name_H-M_alt 'I m m m'
_space_group_IT_number 71
_space_group_name_Hall '-I 2 2'
_cell_length_a 3.168
_cell_length_b 5.651
_cell_length_c 9.587
_cell_angle_alpha 90.00
_cell_angle_beta 90.00
_cell_angle_gamma 90.00
loop_
_atom_site_label
_atom_site_fract_x
_atom_site_fract_y
_atom_site_fract_z
_atom_site_occupancy
Er1 0.000 0.000 0.000 1
Hf1 0.000 0.000 0.329 1
H1 0.000 0.220 0.500 1
H2 0.000 0.264 0.165 1
H3 0.000 0.500 0.323 1
# - E (eV per atom) = -5.05
# - total moment (μB/atom) = 0.00
# - crystal system = orthorhombic
# - ρ (g/cm3) = 10.30

---

(7)
# NaHgS PBE optimized geometry
data_NaHgS
_chemical_formula_sum 'Na4 Hg4 S4'
_space_group_name_H-M_alt 'I m m m'
_space_group_IT_number 71
_space_group_name_Hall '-I 2 2'
_cell_length_a 4.143
_cell_length_b 5.750
_cell_length_c 14.360
_cell_angle_alpha 90.00
_cell_angle_beta 90.00
_cell_angle_gamma 90.00
loop_
_atom_site_label
_atom_site_fract_x
_atom_site_fract_y
_atom_site_fract_z
_atom_site_occupancy
Na1 0.000 0.000 0.168 1
Hg1 0.000 0.268 0.500 1
S1 0.000 0.000 0.356 1
# - E (eV per atom) = -2.29
# - total moment (μB/atom) = 0.00
# - crystal system = orthorhombic
# - uncorrected formation energy (eV per atom) = -0.372
# - E above lowest polymorph (eV/atom) = 0.131
# - ρ (g/cm3) = 4.96

---

(8)
# ScSeS2 PBE optimized geometry
data_ScSeS2
_chemical_formula_sum 'Sc3 Se3 S6'
_space_group_name_H-M_alt 'R -3 m'
_space_group_IT_number 166
_space_group_name_Hall '-R 3 2"'
_cell_length_a 3.7073
_cell_length_b 3.7073
_cell_length_c 23.2403
_cell_angle_alpha 90.00
_cell_angle_beta 90.00
_cell_angle_gamma 120.00
loop_
_atom_site_label
_atom_site_fract_x
_atom_site_fract_y
_atom_site_fract_z
_atom_site_occupancy
Sc1 0.0000 0.0000 0.0000 1
Se1 0.0000 0.0000 0.5000 1
S1 0.0000 0.0000 0.3947 1
# - E (eV per atom) = -5.48
# - total moment (μB/atom) = 0.00
# - crystal system = trigonal
# - uncorrected formation energy (eV per atom) = -0.961
# - ρ (g/cm3) = 3.39